The following is a GGA-PBE calculation of DyHoGa5 after structural relaxation, from OQMD via LeMat-Bulk.

Unit cell a=4.211 b=4.211 c=8.357 alpha=90.00 beta=90.00 gamma=90.00
Space group P4/mmm (No. 123)
One atom of each set of equivalent atoms:
Dy1 0.000 0.000 0.000 [1 per cell]
Ho1 0.000 0.000 0.500 [1 per cell]
Ga1 0.000 0.500 0.254 [4 per cell]
Ga2 0.500 0.500 0.000 [1 per cell]

Output
calculated total energy: -3.905 eV per atom
volume: 21.17 A^3/atom
crystal system: tetragonal
spin magnetization: 0.003 μB/cell

---

The following is a GGA-PBE calculation of DyHoGa4Ir2 after structural relaxation, from OQMD via LeMat-Bulk.

Unit cell a=6.725 b=4.319 c=10.095 alpha=90.00 beta=90.00 gamma=90.00
Space group Amm2 (No. 38)
One atom of each set of equivalent atoms:
Dy1 0.000 0.000 0.000 [2 per cell]
Ho1 0.500 0.000 0.165 [2 per cell]
Ga1 0.197 0.000 0.717 [4 per cell]
Ga2 0.304 0.000 0.448 [4 per cell]
Ir1 0.000 0.000 0.287 [2 per cell]
Ir2 0.500 0.000 0.878 [2 per cell]

Output
calculated total energy: -5.629 eV per atom
volume: 18.33 A^3/atom
crystal system: orthorhombic
spin magnetization: 0.030 μB/cell

---

The following is a GGA-PBE calculation of Dy2HoMg3Ga3 after structural relaxation, from OQMD via LeMat-Bulk.

Unit cell a=4.424 b=12.574 c=7.272 alpha=90.00 beta=90.00 gamma=90.00
Space group Amm2 (No. 38)
One atom of each set of equivalent atoms:
Dy1 0.000 0.214 0.000 [4 per cell]
Ho1 0.000 0.000 0.359 [2 per cell]
Mg1 0.500 0.000 0.029 [2 per cell]
Mg2 0.500 0.121 0.665 [4 per cell]
Ga1 0.000 0.000 0.785 [2 per cell]
Ga2 0.500 0.166 0.286 [4 per cell]

Output
calculated total energy: -3.552 eV per atom
volume: 22.48 A^3/atom
crystal system: orthorhombic
spin magnetization: 0.002 μB/cell

---

The following is a GGA-PBE calculation of DyHoGa2Ni4 after structural relaxation, from OQMD via LeMat-Bulk.

Unit cell a=4.1412 b=4.1412 c=8.8577 alpha=90.00 beta=90.00 gamma=120.00
Space group P-6m2 (No. 187)
One atom of each set of equivalent atoms:
Dy1 0.0000 0.0000 0.0000 [1 per cell]
Ho1 0.6667 0.3333 0.5000 [1 per cell]
Ga1 0.3333 0.6667 0.2507 [2 per cell]
Ni1 0.0000 0.0000 0.3143 [2 per cell]
Ni2 0.6667 0.3333 0.1877 [2 per cell]

Output
calculated total energy: -5.263 eV per atom
volume: 16.44 A^3/atom
crystal system: hexagonal
spin magnetization: 0.003 μB/cell

---

The following is a GGA-PBE calculation of DyHoGa4Ni2 after structural relaxation, from OQMD via LeMat-Bulk.

Unit cell a=6.695 b=4.101 c=10.097 alpha=90.00 beta=90.00 gamma=90.00
Space group Amm2 (No. 38)
One atom of each set of equivalent atoms:
Dy1 0.000 0.000 0.000 [2 per cell]
Ho1 0.500 0.000 0.140 [2 per cell]
Ga1 0.196 0.000 0.715 [4 per cell]
Ga2 0.304 0.000 0.424 [4 per cell]
Ni1 0.000 0.000 0.283 [2 per cell]
Ni2 0.500 0.000 0.857 [2 per cell]

Output
calculated total energy: -4.708 eV per atom
volume: 17.33 A^3/atom
crystal system: orthorhombic
spin magnetization: 0.022 μB/cell

---

The following is a GGA-PBE calculation of DyHo2Ga3Si2Ni after structural relaxation, from OQMD via LeMat-Bulk.

Unit cell a=4.138 b=11.877 c=6.850 alpha=90.00 beta=90.00 gamma=90.00
Space group Amm2 (No. 38)
One atom of each set of equivalent atoms:
Dy1 0.000 0.000 0.000 [2 per cell]
Ho1 0.000 0.202 0.395 [4 per cell]
Ga1 0.500 0.000 0.360 [2 per cell]
Ga2 0.500 0.118 0.714 [4 per cell]
Si1 0.500 0.167 0.096 [4 per cell]
Ni1 0.000 0.000 0.595 [2 per cell]

Output
calculated total energy: -5.053 eV per atom
volume: 18.70 A^3/atom
crystal system: orthorhombic
spin magnetization: 0.003 μB/cell

---

The following is a GGA-PBE calculation of DyHo2Ga3NiSn2 after structural relaxation, from OQMD via LeMat-Bulk.

Unit cell a=4.247 b=12.603 c=7.257 alpha=90.00 beta=90.00 gamma=90.00
Space group Amm2 (No. 38)
One atom of each set of equivalent atoms:
Dy1 0.000 0.000 0.000 [2 per cell]
Ho1 0.000 0.188 0.434 [4 per cell]
Ga1 0.500 0.000 0.401 [2 per cell]
Ga2 0.500 0.110 0.732 [4 per cell]
Ni1 0.000 0.000 0.621 [2 per cell]
Sn1 0.500 0.167 0.122 [4 per cell]

Output
calculated total energy: -4.652 eV per atom
volume: 21.58 A^3/atom
crystal system: orthorhombic
spin magnetization: 0.004 μB/cell

---

The following is a GGA-PBE calculation of DyHoGa2Pd4 after structural relaxation, from OQMD via LeMat-Bulk.

Unit cell a=4.4040 b=4.4040 c=9.0141 alpha=90.00 beta=90.00 gamma=120.00
Space group P-6m2 (No. 187)
One atom of each set of equivalent atoms:
Dy1 0.0000 0.0000 0.0000 [1 per cell]
Ho1 0.3333 0.6667 0.5000 [1 per cell]
Ga1 0.6667 0.3333 0.2501 [2 per cell]
Pd1 0.0000 0.0000 0.3317 [2 per cell]
Pd2 0.3333 0.6667 0.1687 [2 per cell]

Output
volume: 18.93 A^3/atom
crystal system: hexagonal
offset from the most stable computed form: 0.0 meV per atom
spin magnetization: 0.003 μB/cell